Entry 1:
Below is Al2InFe after structural relaxation, with properties calculated at the PBE level.

Calculated values
Its crystal system is tetragonal. The spin magnetization comes out at 0.9 μB/f.u. For the final energy, the calculation gives -18.38 eV/cell. For the density of states at the Fermi level, the calculation gives 1.2 states/eV per cell. The formation energy comes out at 76 meV per atom.

abc: 3.2813 3.2813 5.9746
angles: 90.00 90.00 90.00
Closest atoms and distances in Å follow each position.
Element x y z (fractional)
1 Al 0.0000 0.0000 0.0000  1 Fe 2.45, 4 Al 2.75
2 Al 0.5000 0.5000 0.2465  4 Fe 2.52, 1 In 2.71, 4 Al 2.75
3 In 0.5000 0.5000 0.7004  5 Al 2.71-2.93, 4 Fe 2.89
4 Fe 0.0000 0.0000 0.4107  5 Al 2.45-2.52



Entry 2:
Below is Al2InFe after structural relaxation, with properties calculated at the PBE level.

Calculated values
Its crystal system is tetragonal. The spin magnetization comes out at 0.0 μB/f.u. For the final energy, the calculation gives -18.91 eV/cell. For the density of states at the Fermi level, the calculation gives 2.7 states/eV per cell. The formation energy comes out at -57 meV per atom.

abc: 2.9037 2.9037 7.9671
angles: 90.00 90.00 90.00
Closest atoms and distances in Å follow each position.
Element x y z (fractional)
1 Al 0.0000 0.0000 0.1724  4 Fe 2.47, 1 Al 2.75
2 Al 0.0000 0.0000 0.8276  4 Fe 2.47, 1 Al 2.75
3 In 0.5000 0.5000 0.5000  4 In 2.90
4 Fe 0.5000 0.5000 0.0000  8 Al 2.47



Q: Which of these has the highest spin magnetization?
A: number 1



Q: What is the density of states at the Fermi level in the second record?
A: 2.7 states/eV per cell